First-principles (PBE) data for CaMoAu2 after structural relaxation, as listed in Alexandria via LeMat-Bulk.

Values from the calculation:
For the magnetic moment, the calculation gives 2.82 μB per formula unit. The calculation puts the uncorrected energy at -4.552 eV/atom. The value obtained for the energy above the lowest structure with this stoichiometry is 6.81 kcal/mol of atoms. As for the crystal system: cubic.

Geometry as CIF:
```
data_CaMoAu2
_cell_length_a 6.808
_cell_length_b 6.808
_cell_length_c 6.808
_cell_angle_alpha 90.00
_cell_angle_beta 90.00
_cell_angle_gamma 90.00
_symmetry_space_group_name_H-M 'F -4 3 m'
_symmetry_Int_Tables_number 216
_symmetry_space_group_name_Hall 'F -4 2 3'
loop_
_atom_site_label
_atom_site_type_symbol
_atom_site_fract_x
_atom_site_fract_y
_atom_site_fract_z
_atom_site_occupancy
Ca1 Ca 0.000 0.000 0.000 1
Mo1 Mo 0.250 0.250 0.250 1
Au1 Au 0.000 0.000 0.500 1
Au2 Au 0.250 0.250 0.750 1
```

First-principles (PBE) data for CaMoAu after structural relaxation, as listed in Alexandria via LeMat-Bulk.

Values from the calculation:
For the magnetic moment, the calculation gives 3.82 μB per formula unit. The calculation puts the uncorrected energy at -4.733 eV/atom. The value obtained for the energy above the lowest structure with this stoichiometry is 7.32 kcal/mol of atoms. As for the crystal system: cubic.

Geometry as CIF:
```
data_CaMoAu
_cell_length_a 6.768
_cell_length_b 6.768
_cell_length_c 6.768
_cell_angle_alpha 90.00
_cell_angle_beta 90.00
_cell_angle_gamma 90.00
_symmetry_space_group_name_H-M 'F -4 3 m'
_symmetry_Int_Tables_number 216
_symmetry_space_group_name_Hall 'F -4 2 3'
loop_
_atom_site_label
_atom_site_type_symbol
_atom_site_fract_x
_atom_site_fract_y
_atom_site_fract_z
_atom_site_occupancy
Ca1 Ca 0.000 0.000 0.000 1
Mo1 Mo 0.000 0.000 0.500 1
Au1 Au 0.250 0.250 0.250 1
```

First-principles (PBE) data for CaMoAu2 after structural relaxation, as listed in Alexandria via LeMat-Bulk.

Values from the calculation:
For the magnetic moment, the calculation gives 0.56 μB per formula unit. The calculation puts the uncorrected energy at -4.823 eV/atom. The value obtained for the energy above the lowest structure with this stoichiometry is 0.56 kcal/mol of atoms. As for the crystal system: orthorhombic.

Geometry as CIF:
```
data_CaMoAu2
_cell_length_a 2.942
_cell_length_b 3.976
_cell_length_c 6.761
_cell_angle_alpha 90.00
_cell_angle_beta 90.00
_cell_angle_gamma 90.00
_symmetry_space_group_name_H-M 'P m m m'
_symmetry_Int_Tables_number 47
_symmetry_space_group_name_Hall '-P 2 2'
loop_
_atom_site_label
_atom_site_type_symbol
_atom_site_fract_x
_atom_site_fract_y
_atom_site_fract_z
_atom_site_occupancy
Ca1 Ca 0.000 0.000 0.000 1
Mo1 Mo 0.000 0.000 0.500 1
Au1 Au 0.500 0.500 0.287 1
```

First-principles (PBE) data for CaMo2Au after structural relaxation, as listed in Alexandria via LeMat-Bulk.

Values from the calculation:
For the magnetic moment, the calculation gives 0.00 μB per formula unit. The calculation puts the uncorrected energy at -6.366 eV/atom. The value obtained for the energy above the lowest structure with this stoichiometry is 4.84 kcal/mol of atoms. As for the crystal system: monoclinic.

Geometry as CIF:
```
data_CaMo2Au
_cell_length_a 11.701
_cell_length_b 3.111
_cell_length_c 4.561
_cell_angle_alpha 90.00
_cell_angle_beta 112.82
_cell_angle_gamma 90.00
_symmetry_space_group_name_H-M 'C 1 2/m 1'
_symmetry_Int_Tables_number 12
_symmetry_space_group_name_Hall '-C 2y'
loop_
_atom_site_label
_atom_site_type_symbol
_atom_site_fract_x
_atom_site_fract_y
_atom_site_fract_z
_atom_site_occupancy
Ca1 Ca 0.000 0.000 0.000 1
Mo1 Mo 0.228 0.000 0.727 1
Au1 Au 0.000 0.500 0.500 1
```

First-principles (PBE) data for CaMoAu after structural relaxation, as listed in Alexandria via LeMat-Bulk.

Values from the calculation:
For the magnetic moment, the calculation gives 3.93 μB per formula unit. The calculation puts the uncorrected energy at -4.243 eV/atom. The value obtained for the energy above the lowest structure with this stoichiometry is 18.61 kcal/mol of atoms. As for the crystal system: cubic.

Geometry as CIF:
```
data_CaMoAu
_cell_length_a 6.754
_cell_length_b 6.754
_cell_length_c 6.754
_cell_angle_alpha 90.00
_cell_angle_beta 90.00
_cell_angle_gamma 90.00
_symmetry_space_group_name_H-M 'F -4 3 m'
_symmetry_Int_Tables_number 216
_symmetry_space_group_name_Hall 'F -4 2 3'
loop_
_atom_site_label
_atom_site_type_symbol
_atom_site_fract_x
_atom_site_fract_y
_atom_site_fract_z
_atom_site_occupancy
Ca1 Ca 0.000 0.000 0.000 1
Mo1 Mo 0.250 0.250 0.250 1
Au1 Au 0.250 0.250 0.750 1
```

First-principles (PBE) data for CaMoAu2 after structural relaxation, as listed in Alexandria via LeMat-Bulk.

Values from the calculation:
For the magnetic moment, the calculation gives 0.88 μB per formula unit. The calculation puts the uncorrected energy at -4.756 eV/atom. The value obtained for the energy above the lowest structure with this stoichiometry is 2.10 kcal/mol of atoms. As for the crystal system: monoclinic.

Geometry as CIF:
```
data_CaMoAu2
_cell_length_a 10.731
_cell_length_b 2.925
_cell_length_c 5.147
_cell_angle_alpha 90.00
_cell_angle_beta 106.20
_cell_angle_gamma 90.00
_symmetry_space_group_name_H-M 'C 1 m 1'
_symmetry_Int_Tables_number 8
_symmetry_space_group_name_Hall 'C -2y'
loop_
_atom_site_label
_atom_site_type_symbol
_atom_site_fract_x
_atom_site_fract_y
_atom_site_fract_z
_atom_site_occupancy
Ca1 Ca 0.000 0.000 0.000 1
Mo1 Mo 0.277 0.500 0.406 1
Au1 Au 0.018 0.500 0.498 1
Au2 Au 0.248 0.000 0.882 1
```

First-principles (PBE) data for CaMo2Au after structural relaxation, as listed in Alexandria via LeMat-Bulk.

Values from the calculation:
For the magnetic moment, the calculation gives 0.00 μB per formula unit. The calculation puts the uncorrected energy at -6.201 eV/atom. The value obtained for the energy above the lowest structure with this stoichiometry is 8.65 kcal/mol of atoms. As for the crystal system: orthorhombic.

Geometry as CIF:
```
data_CaMo2Au
_cell_length_a 5.501
_cell_length_b 9.849
_cell_length_c 2.723
_cell_angle_alpha 90.00
_cell_angle_beta 90.00
_cell_angle_gamma 90.00
_symmetry_space_group_name_H-M 'C m m m'
_symmetry_Int_Tables_number 65
_symmetry_space_group_name_Hall '-C 2 2'
loop_
_atom_site_label
_atom_site_type_symbol
_atom_site_fract_x
_atom_site_fract_y
_atom_site_fract_z
_atom_site_occupancy
Ca1 Ca 0.000 0.000 0.000 1
Mo1 Mo 0.250 0.250 0.500 1
Au1 Au 0.000 0.500 0.000 1
```

First-principles (PBE) data for CaMoAu2 after structural relaxation, as listed in Alexandria via LeMat-Bulk.

Values from the calculation:
For the magnetic moment, the calculation gives 0.00 μB per formula unit. The calculation puts the uncorrected energy at -4.663 eV/atom. The value obtained for the energy above the lowest structure with this stoichiometry is 4.24 kcal/mol of atoms. As for the crystal system: tetragonal.

Geometry as CIF:
```
data_CaMoAu2
_cell_length_a 2.989
_cell_length_b 2.989
_cell_length_c 8.754
_cell_angle_alpha 90.00
_cell_angle_beta 90.00
_cell_angle_gamma 90.00
_symmetry_space_group_name_H-M 'P 4 m m'
_symmetry_Int_Tables_number 99
_symmetry_space_group_name_Hall 'P 4 -2'
loop_
_atom_site_label
_atom_site_type_symbol
_atom_site_fract_x
_atom_site_fract_y
_atom_site_fract_z
_atom_site_occupancy
Ca1 Ca 0.000 0.000 0.000 1
Mo1 Mo 0.500 0.500 0.278 1
Au1 Au 0.000 0.000 0.494 1
Au2 Au 0.500 0.500 0.739 1
```

First-principles (PBE) data for Ca4MoAu after structural relaxation, as listed in Alexandria via LeMat-Bulk.

Values from the calculation:
For the magnetic moment, the calculation gives 4.36 μB per formula unit. The calculation puts the uncorrected energy at -2.817 eV/atom. As for the crystal system: cubic.

Geometry as CIF:
```
data_Ca4MoAu
_cell_length_a 8.960
_cell_length_b 8.960
_cell_length_c 8.960
_cell_angle_alpha 90.00
_cell_angle_beta 90.00
_cell_angle_gamma 90.00
_symmetry_space_group_name_H-M 'F -4 3 m'
_symmetry_Int_Tables_number 216
_symmetry_space_group_name_Hall 'F -4 2 3'
loop_
_atom_site_label
_atom_site_type_symbol
_atom_site_fract_x
_atom_site_fract_y
_atom_site_fract_z
_atom_site_occupancy
Ca1 Ca 0.125 0.125 0.125 1
Mo1 Mo 0.250 0.250 0.750 1
Au1 Au 0.000 0.000 0.500 1
```

First-principles (PBE) data for CaMo2Au after structural relaxation, as listed in Alexandria via LeMat-Bulk.

Values from the calculation:
For the magnetic moment, the calculation gives 0.00 μB per formula unit. The calculation puts the uncorrected energy at -6.170 eV/atom. The value obtained for the energy above the lowest structure with this stoichiometry is 9.36 kcal/mol of atoms. As for the crystal system: orthorhombic.

Geometry as CIF:
```
data_CaMo2Au
_cell_length_a 2.717
_cell_length_b 5.038
_cell_length_c 5.457
_cell_angle_alpha 90.00
_cell_angle_beta 90.00
_cell_angle_gamma 90.00
_symmetry_space_group_name_H-M 'P m m m'
_symmetry_Int_Tables_number 47
_symmetry_space_group_name_Hall '-P 2 2'
loop_
_atom_site_label
_atom_site_type_symbol
_atom_site_fract_x
_atom_site_fract_y
_atom_site_fract_z
_atom_site_occupancy
Ca1 Ca 0.000 0.000 0.000 1
Mo1 Mo 0.500 0.500 0.242 1
Au1 Au 0.000 0.000 0.500 1
```

| no. | energy relative to the elements (meV/atom) |
| --- | --- |
| 1 | 295 |
| 2 | 637 |
| 3 | 24 |
| 4 | 369 |
| 5 | 1127 |
| 6 | 91 |
| 7 | 534 |
| 8 | 184 |
| 9 | 869 |
| 10 | 565 |